This record from the Alexandria database describes an optimized crystal structure of YbCuGe. The functional is PBE.

Properties
Crystal system: cubic
Symmetry: F-43m

Structure (POSCAR):
```
YbCuGe
1.0
0.000 3.141 3.141
3.141 0.000 3.141
3.141 3.141 0.000
Yb Cu Ge
1 1 1
Direct
0.000 0.000 0.000
0.750 0.750 0.750
0.500 0.500 0.500
```



This record from the Alexandria database describes an optimized crystal structure of YbCuGe. The functional is PBE.

Properties
Crystal system: trigonal
Symmetry: P-3m1

Structure (POSCAR):
```
YbCuGe
1.0
4.186 0.000 0.000
-2.093 3.625 0.000
0.000 0.000 8.304
Yb Cu Ge
2 2 2
Direct
0.000 0.000 0.223
0.000 0.000 0.777
0.333 0.667 0.004
0.667 0.333 0.996
0.333 0.667 0.443
0.667 0.333 0.557
```



This record from the Alexandria database describes an optimized crystal structure of YbCuGe. The functional is PBE.

Properties
Crystal system: hexagonal
Symmetry: P6_3mc

Structure (POSCAR):
```
YbCuGe
1.0
4.219 0.000 0.000
-2.109 3.653 0.000
0.000 0.000 7.747
Yb Cu Ge
2 2 2
Direct
0.000 0.000 0.000
0.000 0.000 0.500
0.333 0.667 0.251
0.667 0.333 0.751
0.333 0.667 0.749
0.667 0.333 0.249
```



This record from the Alexandria database describes an optimized crystal structure of ZnCu6Ge2. The functional is PBE.

Properties
Crystal system: monoclinic
Symmetry: P2_1/c

Structure (POSCAR):
```
ZnCu6Ge2
1.0
4.378 0.000 0.000
0.000 7.407 0.000
-4.266 0.000 7.457
Zn Cu Ge
2 12 4
Direct
0.000 0.000 0.000
0.000 0.500 0.500
0.027 0.165 0.456
0.027 0.335 0.956
0.338 0.714 0.392
0.338 0.786 0.892
0.411 0.054 0.336
0.411 0.446 0.836
0.589 0.554 0.164
0.589 0.946 0.664
0.662 0.214 0.108
0.662 0.286 0.608
0.973 0.665 0.044
0.973 0.835 0.544
0.244 0.113 0.781
0.244 0.387 0.281
0.756 0.613 0.719
0.756 0.887 0.219
```



Per-record total DFT energy (no corrections), eV per atom: -3.76 -3.76 -3.95 -3.85
Per-record E_form, eV/atom: -0.3435 -0.3464 -0.5349 0.0519